The following is a DFT calculation (GGA-PBE) of a relaxed Al4Fe crystal.

Cell lengths 13.152, 11.352, 8.726 Å; angles 90.00, 127.84, 90.00 degrees
Space group C2/c (No. 15)
One atom of each set of equivalent atoms:
Al 0.000 0.107 0.250 (multiplicity 4)
Al 0.102 0.450 0.962 (multiplicity 8)
Al 0.112 0.209 0.077 (multiplicity 8)
Al 0.121 0.343 0.646 (multiplicity 8)
Al 0.126 0.119 0.789 (multiplicity 8)
Al 0.225 0.030 0.618 (multiplicity 8)
Al 0.250 0.250 0.500 (multiplicity 4)
Fe 0.000 0.279 0.750 (multiplicity 4)
Fe 0.207 0.074 0.338 (multiplicity 8)

Results
Total magnetic moment, Bohr magnetons per cell: 0.0
DFT total energy, eV/atom: -4.876
Energy above the lowest structure with this stoichiometry, meV per atom: 0